4
Lattice="-1.517 2.271 -1.420 -1.758 -3.066 -3.025 -3.796 -0.708 2.923" Properties=species:S:1:pos:R:3 comment="GGA-PBE Mg2AlMo, optimized geometry" sg="Pmmm, No. 47" dft_energy_ev_per_cell=-17.05 magnetic_moment_mub_per_atom=0.000 pbc="T T T"
Mo -2.656 0.781 0.752
Al -2.777 -1.887 -0.051
Mg 0.000 0.000 0.000
Mg -1.637 -0.398 -2.223